[1]
# NdYHo4 (PBE-GGA, optimized geometry)
# Total magnetization ... 4.3 Bohr magnetons per cell
# Calculated formation energy ... 260 meV per atom
data_NdYHo4
_chemical_formula_sum 'Nd4 Y4 Ho16'
_cell_length_a 9.313
_cell_length_b 9.313
_cell_length_c 9.313
_cell_angle_alpha 90.00
_cell_angle_beta 90.00
_cell_angle_gamma 90.00
_space_group_name_H-M_alt 'F -4 3 m'
_space_group_IT_number 216
_space_group_name_Hall 'F -4 2 3'
loop_
_atom_site_label
_atom_site_type_symbol
_atom_site_fract_x
_atom_site_fract_y
_atom_site_fract_z
_atom_site_occupancy
Nd1 Nd 0.000 0.000 0.000 1
Y1 Y 0.250 0.250 0.250 1
Ho1 Ho 0.125 0.125 0.625 1

[2]
# Sm2TcCl (PBE-GGA, optimized geometry)
# Raw formation energy ... 0.05 kcal/mol of atoms
# Total magnetization ... 3.3 Bohr magnetons per cell
data_Sm2TcCl
_chemical_formula_sum 'Sm6 Tc3 Cl3'
_cell_length_a 3.2896
_cell_length_b 3.2896
_cell_length_c 30.1088
_cell_angle_alpha 90.00
_cell_angle_beta 90.00
_cell_angle_gamma 120.00
_space_group_name_H-M_alt 'R -3 m'
_space_group_IT_number 166
_space_group_name_Hall '-R 3 2"'
loop_
_atom_site_label
_atom_site_type_symbol
_atom_site_fract_x
_atom_site_fract_y
_atom_site_fract_z
_atom_site_occupancy
Sm1 Sm 0.0000 0.0000 0.0893 1
Tc1 Tc 0.0000 0.0000 0.0000 1
Cl1 Cl 0.0000 0.0000 0.5000 1

[3]
# RbLaPdO4 (PBE-GGA, optimized geometry)
# Raw formation energy ... -35.27 kcal/mol of atoms
# Total magnetization ... 0.0 Bohr magnetons per cell
data_RbLaPdO4
_chemical_formula_sum 'Rb2 La2 Pd2 O8'
_cell_length_a 6.111
_cell_length_b 5.747
_cell_length_c 7.934
_cell_angle_alpha 90.00
_cell_angle_beta 107.77
_cell_angle_gamma 90.00
_space_group_name_H-M_alt 'P 1 21/m 1'
_space_group_IT_number 11
loop_
_space_group_symop_operation_xyz
'x,y,z'
'-x,-y,-z'
'-x,y+1/2,-z'
'x,-y+1/2,z'
loop_
_atom_site_label
_atom_site_type_symbol
_atom_site_fract_x
_atom_site_fract_y
_atom_site_fract_z
_atom_site_occupancy
Rb1 Rb 0.122 0.250 0.114 1
La1 La 0.206 0.750 0.478 1
Pd1 Pd 0.374 0.250 0.724 1
O1 O 0.122 0.023 0.697 1
O2 O 0.300 0.750 0.197 1
O3 O 0.382 0.250 0.476 1

Quick rundown of E_tot, same order as above: -4.66; -5.41; -5.95 eV/atom